AcCr2CoO8 (PBE+U, optimized geometry); uncorrected energy = -0.5148 Ry/atom
1.0
-2.5794 -0.6036 4.8139
-0.3523 -3.9356 -3.8181
5.6438 -3.0660 2.6397
O Co Cr Ac
8 1 2 1
Direct
0.3333 0.6667 0.0057
0.8398 0.6753 0.3045
0.1602 0.3247 0.6955
0.1645 0.8398 0.6955
0.6753 0.8355 0.6955
0.8355 0.1602 0.3045
0.6667 0.3333 0.9943
0.3247 0.1645 0.3045
0.0000 0.0000 0.5000
0.6667 0.3333 0.2359
0.3333 0.6667 0.7641
0.0000 0.0000 0.0000